[1]
A relaxed LiYHfNi crystal. Source: OQMD via LeMat-Bulk, functional GGA-PBE.

abc: 6.6779 6.6779 6.6779
angles: 90.00 90.00 90.00
Fractional positions:
Li1 0.0000 0.0000 0.0000
Li2 0.0000 0.5000 0.5000
Li3 0.5000 0.0000 0.5000
Li4 0.5000 0.5000 0.0000
Y1 0.2500 0.2500 0.7500
Y2 0.2500 0.7500 0.2500
Y3 0.7500 0.2500 0.2500
Y4 0.7500 0.7500 0.7500
Hf1 0.2500 0.2500 0.2500
Hf2 0.2500 0.7500 0.7500
Hf3 0.7500 0.2500 0.7500
Hf4 0.7500 0.7500 0.2500
Ni1 0.0000 0.0000 0.5000
Ni2 0.0000 0.5000 0.0000
Ni3 0.5000 0.0000 0.0000
Ni4 0.5000 0.5000 0.5000

Summary:
DFT total energy (eV per atom): -5.9725

***

[2]
A relaxed ErTh2 crystal. Source: OQMD via LeMat-Bulk, functional GGA-PBE.

abc: 8.8521 8.8521 8.8521
angles: 60.00 60.00 60.00
Fractional positions:
Er1 0.1250 0.1250 0.1250
Er2 0.8750 0.8750 0.8750
Th1 0.0000 0.0000 0.0000
Th2 0.0000 0.0000 0.5000
Th3 0.0000 0.5000 0.0000
Th4 0.5000 0.0000 0.0000

Summary:
Energy relative to the elements (meV/atom): 2848

***

[3]
A relaxed Ba2TbHfN4 crystal. Source: OQMD via LeMat-Bulk, functional GGA-PBE.

abc: 4.1776 4.1776 8.7178
angles: 90.00 90.00 90.00
Fractional positions:
Ba1 0.0000 0.0000 0.0000
Ba2 0.5000 0.5000 0.3005
Tb1 0.5000 0.5000 0.7149
Hf1 0.0000 0.0000 0.5346
N1 0.0000 0.0000 0.3033
N2 0.0000 0.5000 0.6026
N3 0.5000 0.0000 0.6026
N4 0.5000 0.5000 0.9797

Summary:
DFT total energy (eV per atom): -7.5282

***

[4]
A relaxed Hf3CoB2 crystal. Source: OQMD via LeMat-Bulk, functional GGA-PBE.

abc: 3.3497 3.3497 18.6429
angles: 90.00 90.00 120.00
Fractional positions:
Hf1 0.0000 0.0000 0.0000
Hf2 0.0000 0.0000 0.5000
Hf3 0.3333 0.6667 0.1507
Hf4 0.3333 0.6667 0.3493
Hf5 0.6667 0.3333 0.6507
Hf6 0.6667 0.3333 0.8493
Co1 0.0000 0.0000 0.2500
Co2 0.0000 0.0000 0.7500
B1 0.3333 0.6667 0.5769
B2 0.3333 0.6667 0.9231
B3 0.6667 0.3333 0.0769
B4 0.6667 0.3333 0.4231

Summary:
DFT total energy (eV per atom): -8.6510

***

[5]
A relaxed YAl2Cu crystal. Source: OQMD via LeMat-Bulk, functional GGA-PBE.

abc: 6.6140 6.6140 6.6140
angles: 90.00 90.00 90.00
Fractional positions:
Y1 0.0000 0.0000 0.0000
Y2 0.0000 0.5000 0.5000
Y3 0.5000 0.0000 0.5000
Y4 0.5000 0.5000 0.0000
Al1 0.0000 0.0000 0.5000
Al2 0.0000 0.5000 0.0000
Al3 0.2500 0.2500 0.7500
Al4 0.2500 0.7500 0.2500
Al5 0.5000 0.0000 0.0000
Al6 0.5000 0.5000 0.5000
Al7 0.7500 0.2500 0.2500
Al8 0.7500 0.7500 0.7500
Cu1 0.2500 0.2500 0.2500
Cu2 0.2500 0.7500 0.7500
Cu3 0.7500 0.2500 0.7500
Cu4 0.7500 0.7500 0.2500

Summary:
DFT total energy (eV per atom): -4.6517

***

[6]
A relaxed Er4InGe4Os2 crystal. Source: OQMD via LeMat-Bulk, functional GGA-PBE.

abc: 8.1149 8.1149 6.9676
angles: 106.26 106.26 30.55
Fractional positions:
Er1 0.0889 0.0889 0.3905
Er2 0.1530 0.1530 0.9324
Er3 0.8470 0.8470 0.0676
Er4 0.9111 0.9111 0.6095
In1 0.5000 0.5000 0.0000
Ge1 0.2996 0.2996 0.7422
Ge2 0.4353 0.4353 0.3403
Ge3 0.5647 0.5647 0.6597
Ge4 0.7004 0.7004 0.2578
Os1 0.2799 0.2799 0.3668
Os2 0.7201 0.7201 0.6332

Summary:
DFT total energy (eV per atom): -6.2994

***

[7]
A relaxed NaFeSi crystal. Source: OQMD via LeMat-Bulk, functional GGA-PBE.

abc: 5.9806 5.9806 5.9806
angles: 90.00 90.00 90.00
Fractional positions:
Na1 0.0000 0.0000 0.0000
Na2 0.0000 0.5000 0.5000
Na3 0.5000 0.0000 0.5000
Na4 0.5000 0.5000 0.0000
Fe1 0.2500 0.2500 0.2500
Fe2 0.2500 0.7500 0.7500
Fe3 0.7500 0.2500 0.7500
Fe4 0.7500 0.7500 0.2500
Si1 0.0000 0.0000 0.5000
Si2 0.0000 0.5000 0.0000
Si3 0.5000 0.0000 0.0000
Si4 0.5000 0.5000 0.5000

Summary:
DFT total energy (eV per atom): -4.3437

***

[8]
A relaxed TeAu9 crystal. Source: OQMD via LeMat-Bulk, functional GGA-PBE.

abc: 3.0003 3.0003 52.6064
angles: 90.00 90.00 90.00
Fractional positions:
Te1 0.2500 0.2500 0.1323
Te2 0.7500 0.7500 0.8677
Au1 0.2500 0.2500 0.2192
Au2 0.2500 0.2500 0.2946
Au3 0.2500 0.2500 0.3694
Au4 0.2500 0.2500 0.4441
Au5 0.2500 0.2500 0.5186
Au6 0.2500 0.2500 0.5933
Au7 0.2500 0.2500 0.6680
Au8 0.2500 0.2500 0.7430
Au9 0.2500 0.2500 0.8191
Au10 0.7500 0.7500 0.1809
Au11 0.7500 0.7500 0.2570
Au12 0.7500 0.7500 0.3320
Au13 0.7500 0.7500 0.4067
Au14 0.7500 0.7500 0.4814
Au15 0.7500 0.7500 0.5559
Au16 0.7500 0.7500 0.6306
Au17 0.7500 0.7500 0.7054
Au18 0.7500 0.7500 0.7808

Summary:
DFT total energy (eV per atom): -3.2000

***

[9]
A relaxed Lu4InSN2 crystal. Source: OQMD via LeMat-Bulk, functional GGA-PBE.

abc: 3.4644 3.4644 13.7774
angles: 90.00 90.00 120.00
Fractional positions:
Lu1 0.0000 0.0000 0.1335
Lu2 0.0000 0.0000 0.8665
Lu3 0.6667 0.3333 0.3185
Lu4 0.6667 0.3333 0.6815
In1 0.0000 0.0000 0.5000
S1 0.6667 0.3333 0.0000
N1 0.3333 0.6667 0.2247
N2 0.3333 0.6667 0.7753

Summary:
DFT total energy (eV per atom): -6.6810

***

[10]
A relaxed NdGdBiO2 crystal. Source: OQMD via LeMat-Bulk, functional GGA-PBE.

abc: 3.9538 3.9538 13.7036
angles: 90.00 90.00 90.00
Fractional positions:
Nd1 0.0000 0.0000 0.0000
Nd2 0.5000 0.5000 0.5000
Gd1 0.0000 0.0000 0.6693
Gd2 0.5000 0.5000 0.1693
Bi1 0.0000 0.0000 0.3351
Bi2 0.5000 0.5000 0.8351
O1 0.0000 0.5000 0.0896
O2 0.0000 0.5000 0.5896
O3 0.5000 0.0000 0.0896
O4 0.5000 0.0000 0.5896

Summary:
DFT total energy (eV per atom): -7.3015

***

[11]
A relaxed CdHg2Ge crystal. Source: OQMD via LeMat-Bulk, functional GGA-PBE.

abc: 7.1976 7.1976 7.1976
angles: 90.00 90.00 90.00
Fractional positions:
Cd1 0.0000 0.0000 0.0000
Cd2 0.0000 0.5000 0.5000
Cd3 0.5000 0.0000 0.5000
Cd4 0.5000 0.5000 0.0000
Hg1 0.0000 0.0000 0.5000
Hg2 0.0000 0.5000 0.0000
Hg3 0.2500 0.2500 0.2500
Hg4 0.2500 0.7500 0.7500
Hg5 0.5000 0.0000 0.0000
Hg6 0.5000 0.5000 0.5000
Hg7 0.7500 0.2500 0.7500
Hg8 0.7500 0.7500 0.2500
Ge1 0.2500 0.2500 0.7500
Ge2 0.2500 0.7500 0.2500
Ge3 0.7500 0.2500 0.2500
Ge4 0.7500 0.7500 0.7500

Summary:
DFT total energy (eV per atom): -1.2994

***

[12]
A relaxed SrCd2Ga2 crystal. Source: OQMD via LeMat-Bulk, functional GGA-PBE.

abc: 4.5788 4.5788 11.4596
angles: 90.00 90.00 90.00
Fractional positions:
Sr1 0.0000 0.0000 0.0000
Sr2 0.5000 0.5000 0.5000
Cd1 0.0000 0.5000 0.2500
Cd2 0.0000 0.5000 0.7500
Cd3 0.5000 0.0000 0.2500
Cd4 0.5000 0.0000 0.7500
Ga1 0.0000 0.0000 0.3907
Ga2 0.0000 0.0000 0.6093
Ga3 0.5000 0.5000 0.1093
Ga4 0.5000 0.5000 0.8907

Summary:
DFT total energy (eV per atom): -2.2627

***

[13]
A relaxed NaThBi crystal. Source: OQMD via LeMat-Bulk, functional GGA-PBE.

abc: 7.4386 7.4386 7.4386
angles: 90.00 90.00 90.00
Fractional positions:
Na1 0.0000 0.0000 0.0000
Na2 0.0000 0.5000 0.5000
Na3 0.5000 0.0000 0.5000
Na4 0.5000 0.5000 0.0000
Th1 0.0000 0.0000 0.5000
Th2 0.0000 0.5000 0.0000
Th3 0.5000 0.0000 0.0000
Th4 0.5000 0.5000 0.5000
Bi1 0.2500 0.2500 0.2500
Bi2 0.2500 0.7500 0.7500
Bi3 0.7500 0.2500 0.7500
Bi4 0.7500 0.7500 0.2500

Summary:
DFT total energy (eV per atom): -4.1880

***

[14]
A relaxed Ho2Er2Al3 crystal. Source: OQMD via LeMat-Bulk, functional GGA-PBE.

abc: 15.2982 3.4272 7.2389
angles: 90.00 109.11 90.00
Fractional positions:
Ho1 0.1459 0.0000 0.3867
Ho2 0.3541 0.5000 0.6133
Ho3 0.6459 0.5000 0.3867
Ho4 0.8541 0.0000 0.6133
Er1 0.0728 0.5000 0.7405
Er2 0.4272 0.0000 0.2595
Er3 0.5728 0.0000 0.7405
Er4 0.9272 0.5000 0.2595
Al1 0.0000 0.0000 0.0000
Al2 0.2425 0.5000 0.1457
Al3 0.2575 0.0000 0.8543
Al4 0.5000 0.5000 0.0000
Al5 0.7425 0.0000 0.1457
Al6 0.7575 0.5000 0.8543

Summary:
DFT total energy (eV per atom): -4.3301

***

[15]
A relaxed ScBeTcW crystal. Source: OQMD via LeMat-Bulk, functional GGA-PBE.

abc: 6.2161 6.2161 6.2161
angles: 90.00 90.00 90.00
Fractional positions:
Sc1 0.0000 0.0000 0.0000
Sc2 0.0000 0.5000 0.5000
Sc3 0.5000 0.0000 0.5000
Sc4 0.5000 0.5000 0.0000
Be1 0.2500 0.2500 0.7500
Be2 0.2500 0.7500 0.2500
Be3 0.7500 0.2500 0.2500
Be4 0.7500 0.7500 0.7500
Tc1 0.2500 0.2500 0.2500
Tc2 0.2500 0.7500 0.7500
Tc3 0.7500 0.2500 0.7500
Tc4 0.7500 0.7500 0.2500
W1 0.0000 0.0000 0.5000
W2 0.0000 0.5000 0.0000
W3 0.5000 0.0000 0.0000
W4 0.5000 0.5000 0.5000

Summary:
DFT total energy (eV per atom): -8.3758

***

[16]
A relaxed Dy2YIrPd2Pb3 crystal. Source: OQMD via LeMat-Bulk, functional GGA-PBE.

abc: 3.8847 7.8025 7.8025
angles: 120.04 90.00 90.00
Fractional positions:
Dy1 0.0000 0.1985 0.8015
Dy2 0.0000 0.8015 0.1985
Y1 0.0000 0.4046 0.4046
Ir1 0.0000 0.8022 0.8022
Pd1 0.5000 0.1336 0.4683
Pd2 0.5000 0.4683 0.1336
Pb1 0.5000 0.0669 0.0669
Pb2 0.5000 0.5364 0.8014
Pb3 0.5000 0.8014 0.5364

Summary:
DFT total energy (eV per atom): -5.7849

***

[17]
A relaxed DyTc crystal. Source: OQMD via LeMat-Bulk, functional GGA-PBE.

abc: 3.3595 3.3595 4.2636
angles: 90.00 90.00 120.00
Fractional positions:
Dy1 0.0000 0.0000 0.0000
Tc1 0.6667 0.3333 0.5000

Summary:
Energy relative to the elements (meV/atom): 464

***

[18]
A relaxed Zn3Te2Br2O6 crystal. Source: OQMD via LeMat-Bulk, functional GGA-PBE.

abc: 5.7234 5.7234 7.9817
angles: 106.39 106.39 68.43
Fractional positions:
Zn1 0.0000 0.0000 0.0000
Zn2 0.4270 0.4270 0.1489
Zn3 0.5730 0.5730 0.8511
Te1 0.1568 0.1568 0.7250
Te2 0.8432 0.8432 0.2750
Br1 0.2825 0.2825 0.3681
Br2 0.7175 0.7175 0.6319
O1 0.1097 0.7220 0.1412
O2 0.2780 0.8903 0.8588
O3 0.3600 0.3600 0.8674
O4 0.6400 0.6400 0.1326
O5 0.7220 0.1097 0.1412
O6 0.8903 0.2780 0.8588

Summary:
DFT total energy (eV per atom): -4.4029

***

[19]
A relaxed LuGaFeNi crystal. Source: OQMD via LeMat-Bulk, functional GGA-PBE.

abc: 6.3308 6.3308 6.3308
angles: 90.00 90.00 90.00
Fractional positions:
Lu1 0.0000 0.0000 0.0000
Lu2 0.0000 0.5000 0.5000
Lu3 0.5000 0.0000 0.5000
Lu4 0.5000 0.5000 0.0000
Ga1 0.2500 0.2500 0.2500
Ga2 0.2500 0.7500 0.7500
Ga3 0.7500 0.2500 0.7500
Ga4 0.7500 0.7500 0.2500
Fe1 0.0000 0.0000 0.5000
Fe2 0.0000 0.5000 0.0000
Fe3 0.5000 0.0000 0.0000
Fe4 0.5000 0.5000 0.5000
Ni1 0.2500 0.2500 0.7500
Ni2 0.2500 0.7500 0.2500
Ni3 0.7500 0.2500 0.2500
Ni4 0.7500 0.7500 0.7500

Summary:
DFT total energy (eV per atom): -5.4674

***

[20]
A relaxed NaAlCoSb crystal. Source: OQMD via LeMat-Bulk, functional GGA-PBE.

abc: 6.4516 6.4516 6.4516
angles: 90.00 90.00 90.00
Fractional positions:
Na1 0.0000 0.0000 0.0000
Na2 0.0000 0.5000 0.5000
Na3 0.5000 0.0000 0.5000
Na4 0.5000 0.5000 0.0000
Al1 0.2500 0.2500 0.7500
Al2 0.2500 0.7500 0.2500
Al3 0.7500 0.2500 0.2500
Al4 0.7500 0.7500 0.7500
Co1 0.0000 0.0000 0.5000
Co2 0.0000 0.5000 0.0000
Co3 0.5000 0.0000 0.0000
Co4 0.5000 0.5000 0.5000
Sb1 0.2500 0.2500 0.2500
Sb2 0.2500 0.7500 0.7500
Sb3 0.7500 0.2500 0.7500
Sb4 0.7500 0.7500 0.2500

Summary:
DFT total energy (eV per atom): -3.9179

***

[21]
A relaxed TaCuTcBi crystal. Source: OQMD via LeMat-Bulk, functional GGA-PBE.

abc: 6.5781 6.5781 6.5781
angles: 90.00 90.00 90.00
Fractional positions:
Ta1 0.0000 0.0000 0.0000
Ta2 0.0000 0.5000 0.5000
Ta3 0.5000 0.0000 0.5000
Ta4 0.5000 0.5000 0.0000
Cu1 0.0000 0.0000 0.5000
Cu2 0.0000 0.5000 0.0000
Cu3 0.5000 0.0000 0.0000
Cu4 0.5000 0.5000 0.5000
Tc1 0.2500 0.2500 0.7500
Tc2 0.2500 0.7500 0.2500
Tc3 0.7500 0.2500 0.2500
Tc4 0.7500 0.7500 0.7500
Bi1 0.2500 0.2500 0.2500
Bi2 0.2500 0.7500 0.7500
Bi3 0.7500 0.2500 0.7500
Bi4 0.7500 0.7500 0.2500

Summary:
DFT total energy (eV per atom): -6.9085

***

[22]
A relaxed Ta2CdPb crystal. Source: OQMD via LeMat-Bulk, functional GGA-PBE.

abc: 6.9249 6.9249 6.9249
angles: 90.00 90.00 90.00
Fractional positions:
Ta1 0.0000 0.0000 0.0000
Ta2 0.0000 0.5000 0.5000
Ta3 0.2500 0.2500 0.2500
Ta4 0.2500 0.7500 0.7500
Ta5 0.5000 0.0000 0.5000
Ta6 0.5000 0.5000 0.0000
Ta7 0.7500 0.2500 0.7500
Ta8 0.7500 0.7500 0.2500
Cd1 0.2500 0.2500 0.7500
Cd2 0.2500 0.7500 0.2500
Cd3 0.7500 0.2500 0.2500
Cd4 0.7500 0.7500 0.7500
Pb1 0.0000 0.0000 0.5000
Pb2 0.0000 0.5000 0.0000
Pb3 0.5000 0.0000 0.0000
Pb4 0.5000 0.5000 0.5000

Summary:
DFT total energy (eV per atom): -6.3094

***

[23]
A relaxed CsAg3PtSe4 crystal. Source: OQMD via LeMat-Bulk, functional GGA-PBE.

abc: 6.5757 6.5757 6.5757
angles: 90.00 90.00 90.00
Fractional positions:
Cs1 0.0000 0.0000 0.0000
Ag1 0.0000 0.5000 0.5000
Ag2 0.5000 0.0000 0.5000
Ag3 0.5000 0.5000 0.0000
Pt1 0.5000 0.5000 0.5000
Se1 0.2854 0.2854 0.2854
Se2 0.2854 0.7146 0.7146
Se3 0.7146 0.2854 0.7146
Se4 0.7146 0.7146 0.2854

Summary:
DFT total energy (eV per atom): -3.3794

***

[24]
A relaxed TmScAg6 crystal. Source: OQMD via LeMat-Bulk, functional GGA-PBE.

abc: 4.9286 6.0119 5.1051
angles: 90.00 90.00 90.00
Fractional positions:
Tm1 0.0000 0.0000 0.0000
Sc1 0.5000 0.5000 0.6893
Ag1 0.0000 0.2587 0.5056
Ag2 0.0000 0.5000 0.0099
Ag3 0.0000 0.7413 0.5056
Ag4 0.5000 0.0000 0.6653
Ag5 0.5000 0.2531 0.1826
Ag6 0.5000 0.7469 0.1826

Summary:
Energy relative to the elements (meV/atom): -248

***

[25]
A relaxed LuI3 crystal. Source: OQMD via LeMat-Bulk, functional GGA-PBE.

abc: 7.1581 7.1581 12.9428
angles: 90.00 90.00 90.00
Fractional positions:
Lu1 0.0000 0.0000 0.1687
Lu2 0.0000 0.0000 0.8313
Lu3 0.5000 0.5000 0.3313
Lu4 0.5000 0.5000 0.6687
I1 0.1998 0.1998 0.0000
I2 0.2035 0.2035 0.3349
I3 0.2035 0.2035 0.6651
I4 0.2965 0.7035 0.1651
I5 0.2965 0.7035 0.8349
I6 0.3002 0.6998 0.5000
I7 0.6998 0.3002 0.5000
I8 0.7035 0.2965 0.1651
I9 0.7035 0.2965 0.8349
I10 0.7965 0.7965 0.3349
I11 0.7965 0.7965 0.6651
I12 0.8002 0.8002 0.0000

Summary:
DFT total energy (eV per atom): -3.5892

***

[26]
A relaxed PrPt3S crystal. Source: OQMD via LeMat-Bulk, functional GGA-PBE.

abc: 4.6523 4.6523 4.6523
angles: 90.00 90.00 90.00
Fractional positions:
Pr1 0.0000 0.0000 0.0000
Pt1 0.0000 0.5000 0.5000
Pt2 0.5000 0.0000 0.5000
Pt3 0.5000 0.5000 0.0000
S1 0.5000 0.5000 0.5000

Summary:
DFT total energy (eV per atom): -5.8710